(1)
Entry from Alexandria via LeMat-Bulk: VCuNi2As after structural relaxation (PBE-GGA).

a b c (Å): 4.297 4.297 4.565
angles (deg): 90.00 90.00 90.00
Fractional coordinates of all 5 atoms:
V 0.000 0.000 0.000
Cu 0.000 0.000 0.500
Ni 0.000 0.500 0.000
Ni 0.500 0.000 0.000
As 0.500 0.500 0.500

Properties
Fermi-level density of states, states/eV per cell: 4.8
Uncorrected energy, eV/atom: -4.75
Formation energy from the elements, eV per atom: 1.138

***

(2)
Entry from Alexandria via LeMat-Bulk: Tb4MnIn after structural relaxation (PBE-GGA).

a b c (Å): 7.877 7.877 6.020
angles (deg): 99.61 99.61 112.27
Fractional coordinates of all 12 atoms:
Tb 0.058 0.726 0.954
Tb 0.204 0.361 0.616
Tb 0.274 0.942 0.546
Tb 0.361 0.204 0.116
Tb 0.639 0.796 0.884
Tb 0.726 0.058 0.454
Tb 0.796 0.639 0.384
Tb 0.942 0.274 0.046
Mn 0.000 0.000 0.250
Mn 0.000 0.000 0.750
In 0.375 0.625 0.250
In 0.625 0.375 0.750

Properties
Fermi-level density of states, states/eV per cell: 14.6
Uncorrected energy, eV/atom: -5.17
Formation energy from the elements, eV per atom: -0.103

***

(3)
Entry from Alexandria via LeMat-Bulk: TiTlH after structural relaxation (PBE-GGA).

a b c (Å): 3.233 3.233 9.650
angles (deg): 90.00 90.00 120.31
Fractional coordinates of all 6 atoms:
Ti 0.167 0.833 0.750
Ti 0.833 0.167 0.250
Tl 0.500 0.500 0.000
Tl 0.500 0.500 0.500
H 0.166 0.834 0.250
H 0.834 0.166 0.750

Properties
Fermi-level density of states, states/eV per cell: 3.5
E above lowest polymorph, meV/atom: 30.7
Uncorrected energy, eV/atom: -4.67